A plane-wave DFT calculation with GGA-PBE was carried out for crystalline LaSbW2 at its relaxed geometry.

Properties
- space-group type = I-4m2
- energy (eV/atom) = -8.052
- total magnetization (μB/atom) = 0.000

a = 5.067 Å, b = 5.067 Å, c = 5.067 Å
α = 124.76°, β = 124.76°, γ = 81.94°
Fractional positions:
La: 0.000 0.000 0.000
Sb: 0.250 0.750 0.500
W: 0.500 0.500 0.000
W: 0.750 0.250 0.500